The following is a PBE-GGA calculation of an optimized crystal structure of K2Te2H4Pt, from the Alexandria database.

The calculation puts the total magnetic moment at 1.655 μB/cell. The crystal system is tetragonal. The total DFT energy (no corrections) comes out at -3.34 eV per atom.

Geometry as POSCAR:
```
K2Te2H4Pt
1.0
-3.4592 3.4592 4.1424
3.4592 -3.4592 4.1424
3.4592 3.4592 -4.1424
K Te H Pt
2 2 4 1
Direct
0.2500 0.7500 0.5000
0.7500 0.2500 0.5000
0.1734 0.1734 0.0000
0.8266 0.8266 0.0000
0.3299 0.3299 0.6598
0.3299 0.6701 0.0000
0.6701 0.3299 0.0000
0.6701 0.6701 0.3402
0.5000 0.5000 0.0000
```